4
Lattice="-4.368 -2.556 -0.582 -0.049 -5.079 0.384 -2.201 -2.229 4.017" Properties=species:S:1:pos:R:3 comment="PrSmGaRu | Alexandria | GGA-PBE | optimized geometry" sg="No. 216" mass_density_g_cm3=8.209 e_above_lowest_polymorph_ev_per_atom=0.092 total_magnetization_mub_per_cell=0.000 e_form_kj_per_mol_atoms=-29.31 pbc="T T T"
Pr -3.309 -4.932 1.909
Ru -4.964 -7.398 2.864
Ga -1.655 -2.466 0.955
Sm 0.000 0.000 0.000